a) Entry from OQMD via LeMat-Bulk: a relaxed structure of SrFeAgTe3 (GGA-PBE).

Cell and atoms, written as POSCAR:
```
SrFeAgTe3
1.0
4.7394 5.4228 -1.5483
-5.5052 -4.2389 -2.4475
-7.2093 7.3139 3.5490
Ag Fe Sr Te
2 2 2 6
Cartesian
-1.7465 2.8343 -1.0721
-6.2287 5.6636 0.6254
0.0000 0.0000 0.0000
-3.6046 3.6570 1.7745
-4.9264 -0.1647 -1.3512
-3.0488 8.6626 0.9045
0.7933 2.0850 -1.7809
2.0945 6.4567 -0.7350
-2.4193 5.3442 -0.1994
-5.5559 3.1536 -0.2473
-10.0696 2.0412 0.2882
-8.7684 6.4128 1.3342
```

Calculated values
Space-group type: No. 63

---

b) Entry from OQMD via LeMat-Bulk: a relaxed structure of SrFeAgTe3 (GGA-PBE).

Cell and atoms, written as POSCAR:
```
SrFeAgTe3
1.0
-10.7129 -2.5968 7.9557
1.6497 -3.6851 1.0186
5.0636 4.5633 8.3081
Ag Fe Sr Te
4 4 4 12
Cartesian
0.7395 -0.5430 1.0935
-2.9929 -0.3778 7.7360
-1.0067 -1.3408 9.5463
-4.7390 -1.1757 16.1889
-3.4030 -3.3610 6.1189
2.8834 -1.2246 3.6668
-6.8829 -0.4941 13.6156
-0.5966 1.6423 11.1634
-0.8051 -3.0268 3.1204
-4.3344 -2.6786 10.0961
0.3349 0.9600 7.1863
-3.1945 1.3081 14.1619
-3.7583 -1.7238 4.1063
-7.4459 -4.3719 9.0096
-5.3572 -1.6294 7.0371
0.4351 0.0617 3.7743
-1.0658 -2.1510 6.7113
-7.2159 -1.3110 11.1996
3.2164 -0.4077 6.0828
-2.9338 0.4323 10.5711
-4.4346 -1.7804 13.5081
1.3576 -0.0892 10.2453
3.4464 2.6532 8.2728
-0.2413 0.0051 13.1761
```

Calculated values
Space-group type: No. 62

---

c) Entry from OQMD via LeMat-Bulk: a relaxed structure of SrFeAgTe3 (GGA-PBE).

Cell and atoms, written as POSCAR:
```
SrFeAgTe3
1.0
7.8271 0.0000 0.0000
0.0000 4.2997 0.0000
-2.7687 0.0000 9.5703
Ag Fe Sr Te
2 2 2 6
Cartesian
0.3624 1.0749 0.9389
4.6961 3.2248 8.6314
1.5360 3.2248 3.2189
3.5225 1.0749 6.3514
5.4345 3.2248 2.1561
-0.3760 1.0749 7.4141
2.1931 3.2248 0.5035
3.3023 1.0749 3.5753
-0.2179 1.0749 3.6763
5.2764 3.2248 5.8940
1.7562 3.2248 5.9949
2.8654 1.0749 9.0667
```

Calculated values
Space-group type: No. 11

---

Relative energies in eV/atom: a) 0.063; b) 0.013; c) 0.000

---

a) Entry from OQMD via LeMat-Bulk: a relaxed structure of ZrTlFeAg (GGA-PBE).

Cell and atoms, written as POSCAR:
```
ZrTlFeAg
1.0
0.0000 3.3212 3.3212
3.3212 0.0000 3.3212
3.3212 3.3212 0.0000
Ag Fe Tl Zr
1 1 1 1
Cartesian
3.3212 3.3212 3.3212
4.9818 4.9818 4.9818
0.0000 0.0000 0.0000
1.6606 1.6606 1.6606
```

Calculated values
Space-group type: No. 216

---

b) Entry from OQMD via LeMat-Bulk: a relaxed structure of ZrTlFeAg (GGA-PBE).

Cell and atoms, written as POSCAR:
```
ZrTlFeAg
1.0
0.5994 -3.8417 2.6903
0.4676 0.4435 4.6841
-3.4705 -1.4417 2.8693
Ag Fe Tl Zr
1 1 1 1
Cartesian
-0.6009 -1.2100 2.5609
-1.8027 -3.6300 7.6828
0.0000 0.0000 0.0000
-1.2018 -2.4200 5.1218
```

Calculated values
Space-group type: No. 216

---

Relative energies in eV/atom: a) 0.075; b) 0.000

---

a) Entry from OQMD via LeMat-Bulk: a relaxed structure of LiGaAgHg (GGA-PBE).

Cell and atoms, written as POSCAR:
```
LiGaAgHg
1.0
0.4132 -4.6312 0.1522
-2.5447 -2.6572 -2.8471
2.0437 -2.2695 -3.5092
Ag Ga Hg Li
1 1 1 1
Cartesian
-0.0439 -4.7789 -3.1020
-0.0219 -2.3895 -1.5510
0.0000 0.0000 0.0000
-0.0658 -7.1684 -4.6530
```

Calculated values
Space-group type: No. 216

---

b) Entry from OQMD via LeMat-Bulk: a relaxed structure of LiGaAgHg (GGA-PBE).

Cell and atoms, written as POSCAR:
```
LiGaAgHg
1.0
0.0000 3.3170 3.3170
3.3170 0.0000 3.3170
3.3170 3.3170 0.0000
Ag Ga Hg Li
1 1 1 1
Cartesian
1.6585 1.6585 1.6585
3.3170 3.3170 3.3170
0.0000 0.0000 0.0000
4.9755 4.9755 4.9755
```

Calculated values
Space-group type: No. 216

---

Relative energies in eV/atom: a) 0.000; b) 0.032

---

a) Entry from OQMD via LeMat-Bulk: a relaxed structure of GaAgIr (GGA-PBE).

Cell and atoms, written as POSCAR:
```
GaAgIr
1.0
-2.6869 -0.2682 6.8941
-3.4072 -3.6799 -5.4469
1.7189 -2.4425 0.5749
Ag Ga Ir
3 3 3
Cartesian
-0.7993 -1.3868 4.5436
-1.4724 -2.7320 0.8412
-1.2440 -3.4931 -3.0753
-0.7795 -0.0778 2.0001
-0.9885 -1.0676 -1.5803
-4.3261 -2.8026 1.0273
-2.9270 -1.4054 2.7804
-3.1671 -2.5427 -1.3333
0.8595 -1.2213 0.2875
```

Calculated values
Space-group type: No. 189

---

b) Entry from OQMD via LeMat-Bulk: a relaxed structure of GaAgIr (GGA-PBE).

Cell and atoms, written as POSCAR:
```
GaAgIr
1.0
-1.8479 -2.1448 -3.2329
-3.4209 1.6601 -2.0020
0.3632 1.4532 -4.0277
Ag Ga Ir
1 1 1
Cartesian
-1.2264 0.2421 -2.3157
-3.6792 0.7264 -6.9470
0.0000 0.0000 0.0000
```

Calculated values
Space-group type: No. 216

---

Relative energies in eV/atom: a) 0.000; b) 0.188

---

a) Entry from OQMD via LeMat-Bulk: a relaxed structure of LiLuGaAg (GGA-PBE).

Cell and atoms, written as POSCAR:
```
LiLuGaAg
1.0
-2.1742 -4.1109 0.3587
-3.2023 -1.2282 -3.1611
0.9236 -3.4011 -3.0553
Ag Ga Li Lu
1 1 1 1
Cartesian
-1.1132 -2.1851 -1.4644
-2.2265 -4.3701 -2.9288
-3.3397 -6.5552 -4.3932
0.0000 0.0000 0.0000
```

Calculated values
Space-group type: No. 216

---

b) Entry from OQMD via LeMat-Bulk: a relaxed structure of LiLuGaAg (GGA-PBE).

Cell and atoms, written as POSCAR:
```
LiLuGaAg
1.0
0.0000 3.3059 3.3059
3.3059 0.0000 3.3059
3.3059 3.3059 0.0000
Ag Ga Li Lu
1 1 1 1
Cartesian
3.3059 3.3059 3.3059
1.6529 1.6529 1.6529
4.9588 4.9588 4.9588
0.0000 0.0000 0.0000
```

Calculated values
Space-group type: No. 216

---

Relative energies in eV/atom: a) 0.000; b) 0.008

---

a) Entry from OQMD via LeMat-Bulk: a relaxed structure of LiGaNiAg (GGA-PBE).

Cell and atoms, written as POSCAR:
```
LiGaNiAg
1.0
0.0000 3.0367 3.0367
3.0367 0.0000 3.0367
3.0367 3.0367 0.0000
Ag Ga Li Ni
1 1 1 1
Cartesian
1.5184 1.5184 1.5184
0.0000 0.0000 0.0000
4.5551 4.5551 4.5551
3.0367 3.0367 3.0367
```

Calculated values
Space-group type: No. 216

---

b) Entry from OQMD via LeMat-Bulk: a relaxed structure of LiGaNiAg (GGA-PBE).

Cell and atoms, written as POSCAR:
```
LiGaNiAg
1.0
0.0000 3.0245 3.0245
3.0245 0.0000 3.0245
3.0245 3.0245 0.0000
Ag Ga Li Ni
1 1 1 1
Cartesian
3.0246 3.0246 3.0246
0.0000 0.0000 0.0000
4.5368 4.5368 4.5368
1.5123 1.5123 1.5123
```

Calculated values
Space-group type: No. 216

---

Relative energies in eV/atom: a) 0.134; b) 0.000

---

a) Entry from OQMD via LeMat-Bulk: a relaxed structure of LiYGaAg (GGA-PBE).

Cell and atoms, written as POSCAR:
```
LiYGaAg
1.0
-2.8860 -2.0412 3.1579
-4.5930 1.1657 0.1133
-3.2712 -3.1117 -1.4435
Ag Ga Li Y
1 1 1 1
Cartesian
-2.6876 -0.9968 0.4569
0.0000 0.0000 0.0000
-8.0627 -2.9904 1.3708
-5.3751 -1.9936 0.9139
```

Calculated values
Space-group type: No. 216

---

b) Entry from OQMD via LeMat-Bulk: a relaxed structure of LiYGaAg (GGA-PBE).

Cell and atoms, written as POSCAR:
```
LiYGaAg
1.0
0.0000 3.4290 3.4290
3.4290 0.0000 3.4290
3.4290 3.4290 0.0000
Ag Ga Li Y
1 1 1 1
Cartesian
0.0000 0.0000 0.0000
3.4290 3.4290 3.4290
5.1435 5.1435 5.1435
1.7145 1.7145 1.7145
```

Calculated values
Space-group type: No. 216

---

Relative energies in eV/atom: a) 0.000; b) 0.011

---

a) Entry from OQMD via LeMat-Bulk: a relaxed structure of GaAgNO (GGA-PBE).

Cell and atoms, written as POSCAR:
```
GaAgNO
1.0
4.0977 0.0000 0.0000
0.0000 4.0977 0.0000
0.0000 0.0000 6.1049
Ag Ga N O
2 2 2 2
Cartesian
1.0244 1.0244 0.5955
3.0733 3.0733 5.5094
3.0733 1.0244 3.0525
1.0244 3.0733 3.0525
3.0733 3.0733 2.8925
1.0244 1.0244 3.2124
3.0733 1.0244 0.0000
1.0244 3.0733 0.0000
```

Calculated values
Space-group type: No. 129

---

b) Entry from OQMD via LeMat-Bulk: a relaxed structure of GaAgNO (GGA-PBE).

Cell and atoms, written as POSCAR:
```
GaAgNO
1.0
-2.8264 2.7139 3.2637
3.5474 -1.4489 4.2769
4.0284 5.8359 -1.3641
Ag Ga N O
4 4 4 4
Cartesian
-0.2160 4.3336 3.8515
2.7163 2.3561 4.0511
2.0098 4.6266 1.5513
2.6249 5.1551 5.6286
-0.4776 1.8075 2.2150
3.3727 -0.5449 3.5215
4.7618 4.7615 0.3121
4.4588 5.6649 3.2825
-1.5823 2.7495 3.4718
2.2483 0.4051 4.7545
3.7405 5.8608 1.5102
3.4573 6.7563 4.5043
1.1786 2.7066 2.1597
1.2696 3.4491 5.6052
0.8056 6.0709 3.0233
4.2619 3.8794 3.8547
```

Calculated values
Space-group type: No. 29

---

c) Entry from OQMD via LeMat-Bulk: a relaxed structure of GaAgNO (GGA-PBE).

Cell and atoms, written as POSCAR:
```
GaAgNO
1.0
-1.6331 -2.8287 0.0000
0.0000 0.0000 5.2369
-5.3787 3.1054 0.0000
Ag Ga N O
2 2 2 2
Cartesian
-2.1306 1.2301 2.6837
-3.2481 1.8753 0.0652
-1.5730 -0.9776 5.2065
-5.4388 1.2543 2.5880
-1.4931 0.8621 4.6746
-3.8856 2.2433 2.0561
-1.5596 -0.9854 1.8577
-5.4523 1.2621 4.4762
```

Calculated values
Space-group type: No. 26

---

d) Entry from OQMD via LeMat-Bulk: a relaxed structure of GaAgNO (GGA-PBE).

Cell and atoms, written as POSCAR:
```
GaAgNO
1.0
-0.7963 0.7566 -2.9062
5.2670 1.8237 -0.9684
1.6029 -5.6425 -1.9082
Ag Ga N O
2 2 2 2
Cartesian
5.0051 1.2149 -2.7158
3.4395 -3.4561 -3.5029
3.2458 -1.0657 -1.1668
1.0826 -3.6330 -1.2425
5.0732 -0.5396 -1.5306
2.8549 -2.9128 -1.5406
2.1330 0.0155 -2.2411
5.7284 -2.4586 -3.8704
```

Calculated values
Space-group type: No. 26

---

Relative energies in eV/atom: a) 0.510; b) 0.079; c) 0.030; d) 0.000